## CuAg4 (GGA-PBEsol)

Data for CuAg4 after structural relaxation.

Output
**Total moment**: 0.0000 μB per atom
**ΔH_f (0 K)**: 2.22 eV/f.u.
**Offset from the most stable computed form**: 378 meV/atom

The structure in CIF format:
```
data_CuAg4
_cell_length_a 3.640
_cell_length_b 3.640
_cell_length_c 13.666
_cell_angle_alpha 90.00
_cell_angle_beta 90.00
_cell_angle_gamma 90.00
_space_group_name_H-M_alt 'I 4/m m m'
_space_group_IT_number 139
_space_group_name_Hall '-I 4 2'
loop_
_atom_site_label
_atom_site_fract_x
_atom_site_fract_y
_atom_site_fract_z
Cu1 0.000 0.000 0.000
Ag1 0.000 0.000 0.406
Ag2 0.000 0.500 0.250
```